Record 1
{
  "formula": "Li2SbAsH",
  "functional": "PBE",
  "state": "relaxed",
  "lattice_angstrom": [[4.3445, 0.0000, 0.0000], [0.0000, 4.3445, 0.0000], [0.0000, 0.0000, 4.3330]],
  "species": ["As", "Li", "Sb", "H", "Li"],
  "frac_coords": [[0.5000, 0.5000, 0.5000], [0.5000, 0.0000, 0.0000], [0.0000, 0.0000, 0.5000], [0.0000, 0.0000, 0.0000], [0.0000, 0.5000, 0.0000]],
  "m_tot_mub_per_fu": 0.0,
  "volume_a3_per_cell": 81.78,
  "sg": "P4/mmm",
  "rho_g_cm3": 4.296,
  "dft_energy_ev_per_atom": -3.3837
}

***

Record 2
{
  "formula": "LiSc2AsH",
  "functional": "PBE",
  "state": "relaxed",
  "lattice_angstrom": [[4.3610, 0.0000, 0.0000], [0.0000, 4.3610, 0.0000], [0.0000, 0.0000, 3.8259]],
  "species": ["Sc", "As", "Sc", "Li", "H"],
  "frac_coords": [[0.0000, 0.5000, 0.0000], [0.5000, 0.5000, 0.5000], [0.5000, 0.0000, 0.0000], [0.0000, 0.0000, 0.5000], [0.0000, 0.0000, 0.0000]],
  "m_tot_mub_per_fu": 0.0,
  "volume_a3_per_cell": 72.76,
  "sg": "P4/mmm",
  "rho_g_cm3": 3.943,
  "dft_energy_ev_per_atom": -5.1361
}

***

Record 3
{
  "formula": "LiAsHSe2",
  "functional": "PBE",
  "state": "relaxed",
  "lattice_angstrom": [[4.6646, 0.0000, 0.0000], [0.0000, 4.6646, 0.0000], [0.0000, 0.0000, 4.5764]],
  "species": ["Se", "As", "Li", "Se", "H"],
  "frac_coords": [[0.5000, 0.0000, 0.0000], [0.0000, 0.0000, 0.5000], [0.0000, 0.0000, 0.0000], [0.0000, 0.5000, 0.0000], [0.5000, 0.5000, 0.5000]],
  "m_tot_mub_per_fu": 0.8,
  "polymorph_energy_ev_per_atom": 0.626,
  "volume_a3_per_cell": 99.57,
  "sg": "P4/mmm",
  "rho_g_cm3": 4.016,
  "dft_energy_ev_per_atom": -2.5853
}

***

Record 4
{
  "formula": "LiAsHSe2",
  "functional": "PBE",
  "state": "relaxed",
  "lattice_angstrom": [[-3.1530, -3.0273, 1.9277], [2.6819, -0.2822, 3.9434], [-1.8427, 2.8469, 1.4569]],
  "species": ["Li", "As", "H", "Se", "Se"],
  "frac_coords": [[0.5000, 0.5000, 0.5000], [0.0000, 0.0000, 0.5000], [0.0000, 0.0000, 0.0000], [0.0000, 0.5000, 0.0000], [0.5000, 0.0000, 0.0000]],
  "m_tot_mub_per_fu": 0.0,
  "polymorph_energy_ev_per_atom": 0.000,
  "volume_a3_per_cell": 84.24,
  "sg": "P4/mmm",
  "rho_g_cm3": 4.747,
  "dft_energy_ev_per_atom": -3.2116
}

***

Record 5
{
  "formula": "LiSmAsH",
  "functional": "PBE",
  "state": "relaxed",
  "lattice_angstrom": [[-2.2173, 1.1687, 3.0869], [1.1387, -3.2196, 2.0369], [6.4379, 4.1972, 3.0353]],
  "species": ["Sm", "Li", "Li", "As", "H", "H", "As", "Sm"],
  "frac_coords": [[0.0000, 0.5000, 0.8451], [0.0000, 0.0000, 0.5000], [0.5000, 0.5000, 0.5000], [0.5000, 0.0000, 0.7033], [0.5000, 0.5000, 0.0000], [0.0000, 0.0000, 0.0000], [0.0000, 0.5000, 0.2967], [0.5000, 0.0000, 0.1549]],
  "m_tot_mub_per_fu": 0.0,
  "volume_a3_per_cell": 130.65,
  "sg": "P4/nmm",
  "rho_g_cm3": 5.929,
  "dft_energy_ev_per_atom": -4.6179
}

***

Record 6
{
  "formula": "Li2SnAsH",
  "functional": "PBE",
  "state": "relaxed",
  "lattice_angstrom": [[-3.7122, 2.1026, -0.5102], [-0.9969, -2.5615, -3.3026], [-1.8996, -2.7055, 2.6718]],
  "species": ["Sn", "As", "H", "Li", "Li"],
  "frac_coords": [[0.5000, 0.5000, 0.5000], [0.0000, 0.0000, 0.5000], [0.0000, 0.0000, 0.0000], [0.0000, 0.5000, 0.0000], [0.5000, 0.0000, 0.0000]],
  "m_tot_mub_per_fu": 0.0,
  "polymorph_energy_ev_per_atom": 0.073,
  "volume_a3_per_cell": 78.47,
  "sg": "P4/mmm",
  "rho_g_cm3": 4.413,
  "dft_energy_ev_per_atom": -3.3590
}

***

Record 7
{
  "formula": "Li2SnAsH",
  "functional": "PBE",
  "state": "relaxed",
  "lattice_angstrom": [[-1.9452, -3.7676, 0.1457], [3.5550, -1.8873, -1.3418], [1.3265, -0.5206, 4.2469]],
  "species": ["Li", "As", "H", "Sn", "Li"],
  "frac_coords": [[0.5000, 0.0000, 0.0000], [0.5000, 0.5000, 0.5000], [0.0000, 0.0000, 0.0000], [0.0000, 0.0000, 0.5000], [0.0000, 0.5000, 0.0000]],
  "m_tot_mub_per_fu": 0.0,
  "polymorph_energy_ev_per_atom": 0.000,
  "volume_a3_per_cell": 80.63,
  "sg": "P4/mmm",
  "rho_g_cm3": 4.294,
  "dft_energy_ev_per_atom": -3.4315
}

***

Record 8
{
  "formula": "Li2TiAsH",
  "functional": "PBE",
  "state": "relaxed",
  "lattice_angstrom": [[-0.4438, -2.6707, -2.6657], [-0.0990, -2.6749, 2.6964], [-4.0670, 0.4144, 0.2619]],
  "species": ["H", "Li", "Ti", "As", "Li"],
  "frac_coords": [[0.0000, 0.0000, 0.0000], [0.0000, 0.5000, 0.0000], [0.0000, 0.0000, 0.5000], [0.5000, 0.5000, 0.5000], [0.5000, 0.0000, 0.0000]],
  "m_tot_mub_per_fu": 0.0,
  "volume_a3_per_cell": 59.13,
  "sg": "P4/mmm",
  "rho_g_cm3": 3.866,
  "dft_energy_ev_per_atom": -4.4626
}

***

Record 9
{
  "formula": "Li2TlAsH",
  "functional": "PBE",
  "state": "relaxed",
  "lattice_angstrom": [[-2.4402, 3.4052, 0.0819], [-1.0411, -0.8416, 3.9704], [3.6500, 2.5794, 1.5038]],
  "species": ["Li", "Tl", "H", "As", "Li"],
  "frac_coords": [[0.0000, 0.5000, 0.0000], [0.0000, 0.0000, 0.5000], [0.0000, 0.0000, 0.0000], [0.5000, 0.5000, 0.5000], [0.5000, 0.0000, 0.0000]],
  "m_tot_mub_per_fu": 0.0,
  "polymorph_energy_ev_per_atom": 0.000,
  "volume_a3_per_cell": 82.79,
  "sg": "P4/mmm",
  "rho_g_cm3": 5.901,
  "dft_energy_ev_per_atom": -3.0466
}

***

Record 10
{
  "formula": "Li2TlAsH",
  "functional": "PBE",
  "state": "relaxed",
  "lattice_angstrom": [[-0.0356, -0.8140, 4.4411], [3.5186, -2.7882, -0.4828], [2.4704, 3.0183, 0.5730]],
  "species": ["Tl", "Li", "H", "As", "Li"],
  "frac_coords": [[0.5000, 0.5000, 0.5000], [0.0000, 0.5000, 0.0000], [0.0000, 0.0000, 0.0000], [0.0000, 0.0000, 0.5000], [0.5000, 0.0000, 0.0000]],
  "m_tot_mub_per_fu": 0.0,
  "polymorph_energy_ev_per_atom": 0.033,
  "volume_a3_per_cell": 80.37,
  "sg": "P4/mmm",
  "rho_g_cm3": 6.078,
  "dft_energy_ev_per_atom": -3.0132
}

***

Record 11
{
  "formula": "LiY2AsH",
  "functional": "PBE",
  "state": "relaxed",
  "lattice_angstrom": [[-2.3173, 3.1471, -2.7021], [-2.8774, -3.4490, -1.5494], [-2.4520, 0.7228, 2.9446]],
  "species": ["As", "Y", "Y", "Li", "H"],
  "frac_coords": [[0.5000, 0.5000, 0.5000], [0.0000, 0.5000, 0.0000], [0.5000, 0.0000, 0.0000], [0.0000, 0.0000, 0.5000], [0.0000, 0.0000, 0.0000]],
  "m_tot_mub_per_fu": 0.0,
  "volume_a3_per_cell": 88.03,
  "sg": "P4/mmm",
  "rho_g_cm3": 4.917,
  "dft_energy_ev_per_atom": -5.1845
}

***

Record 12
{
  "formula": "Li2YAsH",
  "functional": "PBE",
  "state": "relaxed",
  "lattice_angstrom": [[-2.3112, 3.3873, 0.4466], [0.3261, -0.3180, 4.0997], [3.7508, 2.5722, -0.0988]],
  "species": ["As", "Y", "Li", "Li", "H"],
  "frac_coords": [[0.5000, 0.5000, 0.5000], [0.0000, 0.0000, 0.5000], [0.0000, 0.5000, 0.0000], [0.5000, 0.0000, 0.0000], [0.0000, 0.0000, 0.0000]],
  "m_tot_mub_per_fu": 0.0,
  "volume_a3_per_cell": 77.40,
  "sg": "P4/mmm",
  "rho_g_cm3": 3.834,
  "dft_energy_ev_per_atom": -4.3494
}

***

Record 13
{
  "formula": "Li2ZnAsH",
  "functional": "PBE",
  "state": "relaxed",
  "lattice_angstrom": [[-3.4095, 0.8643, 1.6419], [-1.6930, -0.0433, -3.4927], [-0.8031, -4.0015, 0.4388]],
  "species": ["Zn", "As", "Li", "Li", "H"],
  "frac_coords": [[0.0000, 0.0000, 0.5000], [0.5000, 0.5000, 0.5000], [0.5000, 0.0000, 0.0000], [0.0000, 0.5000, 0.0000], [0.0000, 0.0000, 0.0000]],
  "m_tot_mub_per_fu": 0.0,
  "volume_a3_per_cell": 61.85,
  "sg": "P4/mmm",
  "rho_g_cm3": 4.167,
  "dft_energy_ev_per_atom": -2.9891
}

***

Record 14
{
  "formula": "MgAs3H",
  "functional": "PBE",
  "state": "relaxed",
  "lattice_angstrom": [[-0.1478, -1.4569, -4.0913], [-2.8736, -3.0366, 1.1851], [-3.2563, 2.7458, -0.8602]],
  "species": ["Mg", "As", "As", "H", "As"],
  "frac_coords": [[0.5000, 0.5000, 0.5000], [0.0000, 0.0000, 0.5000], [0.0000, 0.5000, 0.0000], [0.0000, 0.0000, 0.0000], [0.5000, 0.0000, 0.0000]],
  "m_tot_mub_per_fu": 0.0,
  "polymorph_energy_ev_per_atom": 0.000,
  "volume_a3_per_cell": 82.05,
  "sg": "Pm-3m",
  "rho_g_cm3": 5.061,
  "dft_energy_ev_per_atom": -3.4329
}

***

Record 15
{
  "formula": "MgAsH2",
  "functional": "PBE",
  "state": "relaxed",
  "lattice_angstrom": [[4.7223, 0.0000, 0.0000], [0.0000, 4.7223, 0.0000], [2.3612, 2.3612, 4.5295]],
  "species": ["As", "Mg", "H", "H", "Mg", "H", "H", "As"],
  "frac_coords": [[0.0000, 0.0000, 0.0000], [0.2500, 0.7500, 0.5000], [0.1875, 0.6250, 0.2500], [0.3750, 0.4375, 0.7500], [0.5000, 0.5000, 0.0000], [0.8750, 0.8125, 0.7500], [0.5625, 0.1250, 0.2500], [0.7500, 0.2500, 0.5000]],
  "m_tot_mub_per_fu": 0.0,
  "polymorph_energy_ev_per_atom": 0.000,
  "volume_a3_per_cell": 101.01,
  "sg": "I-42d",
  "rho_g_cm3": 3.329,
  "dft_energy_ev_per_atom": -2.8871
}

***

Record 16
{
  "formula": "Mg3AsH",
  "functional": "PBE",
  "state": "relaxed",
  "lattice_angstrom": [[4.3888, 0.0000, 0.0000], [0.0000, 4.3888, 0.0000], [0.0000, 0.0000, 4.3888]],
  "species": ["Mg", "Mg", "Mg", "As", "H"],
  "frac_coords": [[0.0000, 0.5000, 0.0000], [0.0000, 0.0000, 0.5000], [0.5000, 0.0000, 0.0000], [0.5000, 0.5000, 0.5000], [0.0000, 0.0000, 0.0000]],
  "m_tot_mub_per_fu": 0.0,
  "polymorph_energy_ev_per_atom": 0.000,
  "volume_a3_per_cell": 84.54,
  "sg": "Pm-3m",
  "rho_g_cm3": 2.924,
  "dft_energy_ev_per_atom": -2.5933
}

***

Record 17
{
  "formula": "MgAs3H",
  "functional": "PBE",
  "state": "relaxed",
  "lattice_angstrom": [[-2.9549, -0.6954, 3.9563], [-1.8274, -4.1411, -2.0927], [3.5772, -2.6899, 2.1990]],
  "species": ["As", "As", "As", "H", "Mg"],
  "frac_coords": [[0.0000, 0.0000, 0.5000], [0.5000, 0.0000, 0.0000], [0.0000, 0.5000, 0.0000], [0.5000, 0.5000, 0.5000], [0.0000, 0.0000, 0.0000]],
  "m_tot_mub_per_fu": 0.6,
  "polymorph_energy_ev_per_atom": 0.781,
  "volume_a3_per_cell": 124.01,
  "sg": "Pm-3m",
  "rho_g_cm3": 3.349,
  "dft_energy_ev_per_atom": -2.6521
}

***

Record 18
{
  "formula": "Mg2AsH6",
  "functional": "PBE",
  "state": "relaxed",
  "lattice_angstrom": [[-3.7111, -3.3861, 0.7491], [0.6500, -3.7871, 3.3218], [-2.5815, -0.0124, 4.3743]],
  "species": ["Mg", "Mg", "H", "As", "H", "H", "H", "H", "H"],
  "frac_coords": [[0.2500, 0.2500, 0.2500], [0.7500, 0.7500, 0.7500], [0.2458, 0.7542, 0.2458], [0.0000, 0.0000, 0.0000], [0.7542, 0.2458, 0.7542], [0.2458, 0.7542, 0.7542], [0.7542, 0.2458, 0.2458], [0.7542, 0.7542, 0.2458], [0.2458, 0.2458, 0.7542]],
  "m_tot_mub_per_fu": 0.0,
  "volume_a3_per_cell": 92.66,
  "sg": "Fm-3m",
  "rho_g_cm3": 2.322,
  "dft_energy_ev_per_atom": -2.6746
}

***

Record 19
{
  "formula": "Mg3AsH",
  "functional": "PBE",
  "state": "relaxed",
  "lattice_angstrom": [[-4.7189, 1.3792, -1.4926], [-0.6242, -4.5749, -2.2538], [-1.9340, -1.8886, 4.3693]],
  "species": ["Mg", "Mg", "H", "As", "Mg"],
  "frac_coords": [[0.0000, 0.5000, 0.0000], [0.0000, 0.0000, 0.5000], [0.5000, 0.5000, 0.5000], [0.0000, 0.0000, 0.0000], [0.5000, 0.0000, 0.0000]],
  "m_tot_mub_per_fu": 0.0,
  "polymorph_energy_ev_per_atom": 0.529,
  "volume_a3_per_cell": 135.63,
  "sg": "Pm-3m",
  "rho_g_cm3": 1.822,
  "dft_energy_ev_per_atom": -2.0640
}

***

Record 20
{
  "formula": "MgAsH2",
  "functional": "PBE",
  "state": "relaxed",
  "lattice_angstrom": [[-0.4402, 2.2670, 3.2047], [-3.5801, 1.3410, 0.9941], [-1.8279, -1.4313, 3.1959]],
  "species": ["As", "Mg", "H", "H"],
  "frac_coords": [[0.5000, 0.5000, 0.5000], [0.0000, 0.0000, 0.0000], [0.2500, 0.2500, 0.2500], [0.7500, 0.7500, 0.7500]],
  "m_tot_mub_per_fu": 0.0,
  "polymorph_energy_ev_per_atom": 0.074,
  "volume_a3_per_cell": 43.58,
  "sg": "Fm-3m",
  "rho_g_cm3": 3.857,
  "dft_energy_ev_per_atom": -2.8126
}